A relaxed Hg2H3S2 crystal. Source: Alexandria via LeMat-Bulk, functional GGA-PBE.

The structure in POSCAR format:
```
Hg2H3S2
1.0
4.930 0.000 0.000
2.353 5.672 0.000
1.562 1.991 6.633
Hg H S
2 3 2
direct
0.000 0.000 0.000 Hg
0.384 0.219 0.040 Hg
0.195 0.787 0.527 H
0.273 0.087 0.510 H
0.889 0.525 0.302 H
0.169 0.527 0.272 S
0.359 0.845 0.621 S
```

The total energy comes out at -2.768 eV/atom. As for the space group: P1. The calculation puts the density at 4.19 Mg/m³. The density of states at the Fermi level is 0.492 states/eV per cell. As for the magnetization: 0.000 μB/atom.